# 1
## ZnTcSn2 (PBE)

Data for a relaxed ZnTcSn2 crystal.

Unit cell a=6.808 b=6.808 c=6.808 alpha=90.00 beta=90.00 gamma=90.00
Space group F-43m (No. 216)
Asymmetric unit:
Zn 0.000 0.000 0.000
Tc 0.250 0.250 0.750
Sn 0.000 0.000 0.500
Sn 0.250 0.250 0.250

Uncorrected energy ... -4.328 eV per atom
Magnetic moment ... 0.9 μB per formula unit

# 2
## ZrTcSn2 (PBE)

Data for a relaxed ZrTcSn2 crystal.

Unit cell a=6.888 b=6.888 c=6.888 alpha=90.00 beta=90.00 gamma=90.00
Space group F-43m (No. 216)
Asymmetric unit:
Zr 0.000 0.000 0.000
Tc 0.250 0.250 0.750
Sn 0.000 0.000 0.500
Sn 0.250 0.250 0.250

Uncorrected energy ... -6.623 eV per atom
Magnetic moment ... 0.1 μB per formula unit

# 3
## ZrTcSn2 (PBE)

Data for a relaxed ZrTcSn2 crystal.

Unit cell a=6.888 b=6.888 c=6.888 alpha=90.00 beta=90.00 gamma=90.00
Space group F-43m (No. 216)
Asymmetric unit:
Zr 0.000 0.000 0.000
Tc 0.250 0.250 0.750
Sn 0.000 0.000 0.500
Sn 0.250 0.250 0.250

Uncorrected energy ... -6.623 eV per atom
Magnetic moment ... 0.1 μB per formula unit

# 4
## ZrTc2Sn (PBE)

Data for a relaxed ZrTc2Sn crystal.

Unit cell a=6.581 b=6.581 c=6.581 alpha=90.00 beta=90.00 gamma=90.00
Space group F-43m (No. 216)
Asymmetric unit:
Zr 0.000 0.000 0.000
Tc 0.000 0.000 0.500
Tc 0.250 0.250 0.250
Sn 0.250 0.250 0.750

Uncorrected energy ... -8.188 eV per atom
Magnetic moment ... 0.8 μB per formula unit